## Tl2CdAu2 (SCAN)

Data for a PBEsol-optimized structure of Tl2CdAu2.

Results
The calculation puts the density of states at the Fermi level at 0.3849 states/eV/atom. The polymorph energy (0 for the lowest one) comes out at 0.0000 eV/atom. For the size of the total moment, the calculation gives 0.00 μB per formula unit. The symmetry is P4/mbm, No. 127.

```
Tl2CdAu2
1.0
-0.429 3.141 2.787
-6.883 -2.125 1.337
2.398 -4.408 5.337
Tl Au Cd
4 4 2
Cartesian
0.238 -1.722 5.173 Tl
-2.803 -3.520 6.733 Tl
-5.151 -1.671 4.288 Tl
-2.110 0.128 2.728 Tl
-0.424 -4.569 5.084 Au
-4.402 -4.645 4.558 Au
-4.061 -1.965 1.590 Au
-0.083 -1.889 2.116 Au
0.000 0.000 0.000 Cd
-2.242 -3.267 3.337 Cd
```